1.
A plane-wave DFT calculation with PBEsol was carried out for a relaxed structure of Ba4Cl.

Values from the calculation:
Its space-group type is No. 139.

abc: 4.714 4.714 11.834
angles: 101.49 101.49 90.00
Fractional positions:
Ba  0.250  0.750  0.500
Ba  0.588  0.588  0.177
Ba  0.750  0.250  0.500
Ba  0.412  0.412  0.823
Cl  0.000  0.000  0.000

---

2.
A plane-wave DFT calculation with PBEsol was carried out for a relaxed structure of BaCl2.

Values from the calculation:
Its space-group type is No. 225.

abc: 5.138 5.138 5.138
angles: 60.00 60.00 60.00
Fractional positions:
Cl  0.750  0.750  0.750
Cl  0.250  0.250  0.250
Ba  0.000  0.000  0.000

---

3.
A plane-wave DFT calculation with PBEsol was carried out for a relaxed structure of Ba2Cl.

Values from the calculation:
Its space-group type is No. 194. The value obtained for the excess energy over the best structure of this formula in the dataset is 1.38 eV per formula unit.

abc: 6.715 6.461 6.461
angles: 120.00 90.00 90.00
Fractional positions:
Cl  0.250  0.667  0.333
Cl  0.750  0.333  0.667
Ba  0.500  0.000  0.000
Ba  0.000  0.000  0.000
Ba  0.750  0.667  0.333
Ba  0.250  0.333  0.667

---

4.
A plane-wave DFT calculation with PBEsol was carried out for a relaxed structure of Ba2Cl.

Values from the calculation:
Its space-group type is No. 63. The value obtained for the excess energy over the best structure of this formula in the dataset is 0.00 eV per formula unit.

abc: 4.090 4.155 15.292
angles: 82.19 90.00 90.00
Fractional positions:
Ba  0.750  0.194  0.612
Ba  0.250  0.435  0.130
Ba  0.750  0.565  0.870
Ba  0.250  0.806  0.388
Cl  0.750  0.895  0.211
Cl  0.250  0.105  0.789

---

5.
A plane-wave DFT calculation with PBEsol was carried out for a relaxed structure of BaCo2Cl.

Values from the calculation:
Its space-group type is No. 123. The value obtained for the excess energy over the best structure of this formula in the dataset is 1.30 eV per formula unit.

abc: 3.980 3.980 5.834
angles: 90.00 90.00 90.00
Fractional positions:
Ba  0.500  0.500  0.500
Co  0.500  0.000  0.000
Co  0.000  0.500  0.000
Cl  0.000  0.000  0.500

---

6.
A plane-wave DFT calculation with PBEsol was carried out for a relaxed structure of BaCo3Cl.

Values from the calculation:
Its space-group type is No. 221.

abc: 4.917 4.917 4.917
angles: 90.00 90.00 90.00
Fractional positions:
Co  0.500  0.000  0.000
Co  0.000  0.000  0.500
Co  0.000  0.500  0.000
Cl  0.500  0.500  0.500
Ba  0.000  0.000  0.000

---

7.
A plane-wave DFT calculation with PBEsol was carried out for a relaxed structure of BaCo2Cl.

Values from the calculation:
Its space-group type is No. 44. The value obtained for the excess energy over the best structure of this formula in the dataset is 0.09 eV per formula unit.

abc: 3.602 5.340 5.340
angles: 66.32 70.29 70.29
Fractional positions:
Cl  0.679  0.821  0.821
Co  0.335  0.165  0.165
Co  0.990  0.010  0.010
Ba  0.496  0.504  0.504

---

8.
A plane-wave DFT calculation with PBEsol was carried out for a relaxed structure of BaCoCl2.

Values from the calculation:
Its space-group type is No. 8. The value obtained for the excess energy over the best structure of this formula in the dataset is 0.17 eV per formula unit.

abc: 3.936 4.389 5.839
angles: 104.27 109.70 90.00
Fractional positions:
Co  0.528  0.807  0.056
Cl  0.688  0.583  0.375
Cl  0.986  0.945  0.972
Ba  0.299  0.164  0.597

---

no.,formation energy from raw total energies (meV per atom),spin magnetization (μB per cell)
1,-229,0.0
2,-2549,0.0
3,-614,0.9
4,-1073,0.5
5,400,3.5
6,2249,3.8
7,99,3.0
8,-980,1.0